(1)
VASP calculation (PBE) on an optimized crystal structure of SmHf2BeN4.

Unit cell a=3.2201 b=5.6203 c=10.7314 alpha=90.00 beta=90.00 gamma=106.65
With the nearest neighbours (Å) after each atom.
Sites, in units of the cell vectors:
Hf  0.6312  0.2624  0.4482  6 N 2.16-2.29
Hf  0.6312  0.2624  0.0518  6 N 2.16-2.29
Hf  0.3688  0.7376  0.5518  6 N 2.16-2.29
Hf  0.3688  0.7376  0.9482  6 N 2.16-2.29
N  0.7344  0.4689  0.6206  1 Be 1.71
N  0.4190  0.8381  0.7500  2 Be 1.89
N  0.0000  0.0000  0.0000  4 Hf 2.21
N  0.5810  0.1619  0.2500  2 Be 1.89
N  0.2656  0.5311  0.3794  1 Be 1.71
N  0.7344  0.4689  0.8794  1 Be 1.71
N  0.2656  0.5311  0.1206  1 Be 1.71
N  0.0000  0.0000  0.5000  4 Hf 2.21
Sm  0.1019  0.2038  0.7500  6 N 2.54-2.56
Sm  0.8981  0.7962  0.2500  6 N 2.54-2.56
Be  0.1735  0.3470  0.2500  4 N 1.71-1.89
Be  0.8265  0.6530  0.7500  4 N 1.71-1.89

Output
Formation energy from raw total energies ... -1611 meV per atom
Density of states at the Fermi level ... 1.36 states/eV/f.u.
Symmetry ... Cmcm, No. 63
Magnetization ... 0.0 μB/f.u.

(2)
VASP calculation (PBE) on an optimized crystal structure of Cs3SnRh.

Unit cell a=6.1372 b=6.1372 c=6.1372 alpha=90.00 beta=90.00 gamma=90.00
With the nearest neighbours (Å) after each atom.
Sites, in units of the cell vectors:
Rh  0.0000  0.0000  0.0000  6 Cs 3.07
Cs  0.0000  0.5000  0.0000  2 Rh 3.07
Cs  0.0000  0.0000  0.5000  2 Rh 3.07
Cs  0.5000  0.0000  0.0000  2 Rh 3.07
Sn  0.5000  0.5000  0.5000  12 Cs 4.34

Output
Energy of formation from the pure elements ... 2.48 eV/f.u.
Density of states at the Fermi level ... 1.76 states/eV/f.u.
Symmetry ... Pm-3m, No. 221
Magnetization ... 2.4 μB/f.u.

(3)
VASP calculation (PBE) on an optimized crystal structure of Mg2VCd.

Unit cell a=7.7248 b=7.7248 c=6.1912 alpha=51.40 beta=51.40 gamma=90.00
With the nearest neighbours (Å) after each atom.
Sites, in units of the cell vectors:
Mg  0.8750  0.8805  0.7500  2 Cd 2.80, 2 V 2.86, 2 Mg 2.92
Mg  0.6305  0.1250  0.2500  2 Cd 2.80, 2 V 2.86, 2 Mg 2.92
Mg  0.1195  0.6250  0.2500  2 Cd 2.80, 2 V 2.86, 2 Mg 2.92
Mg  0.3750  0.3695  0.7500  2 Cd 2.80, 2 V 2.86, 2 Mg 2.92
Cd  0.7500  0.2500  0.5000  4 Mg 2.80, 2 V 2.91
Cd  0.0000  0.0000  0.0000  4 Mg 2.80, 2 V 2.91
V  0.5000  0.5000  0.0000  4 Mg 2.86, 2 Cd 2.91
V  0.2500  0.7500  0.5000  4 Mg 2.86, 2 Cd 2.91

Output
Energy of formation from the pure elements ... 2.11 eV/f.u.
Density of states at the Fermi level ... 1.45 states/eV/f.u.
Symmetry ... I-42d, No. 122
Magnetization ... 3.1 μB/f.u.

(4)
VASP calculation (PBE) on an optimized crystal structure of Dy6YHo6.

Unit cell a=6.6224 b=6.6224 c=11.3218 alpha=90.00 beta=90.00 gamma=120.00
With the nearest neighbours (Å) after each atom.
Sites, in units of the cell vectors:
Dy  0.3333  0.6667  0.0000  6 Ho 3.36
Dy  0.3333  0.6667  0.5000  6 Ho 3.48, 3 Dy 3.82
Dy  0.6667  0.3333  0.5000  6 Ho 3.48, 3 Dy 3.82
Dy  0.0000  0.0000  0.3457  1 Dy 3.49, 6 Ho 3.51
Dy  0.6667  0.3333  0.0000  6 Ho 3.36
Dy  0.0000  0.0000  0.6543  1 Dy 3.49, 6 Ho 3.51
Ho  0.0000  0.5000  0.2437  4 Ho 3.31, 6 Dy 3.36-3.51
Ho  0.5000  0.0000  0.7563  4 Ho 3.31, 6 Dy 3.36-3.51
Ho  0.5000  0.5000  0.2437  4 Ho 3.31, 6 Dy 3.36-3.51
Ho  0.0000  0.5000  0.7563  4 Ho 3.31, 6 Dy 3.36-3.51
Ho  0.5000  0.0000  0.2437  4 Ho 3.31, 6 Dy 3.36-3.51
Ho  0.5000  0.5000  0.7563  4 Ho 3.31, 6 Dy 3.36-3.51
Y  0.0000  0.0000  0.0000  8 Dy 3.82-3.91

Output
Energy of formation from the pure elements ... 3.67 eV/f.u.
Density of states at the Fermi level ... 24.70 states/eV/f.u.
Symmetry ... P6/mmm, No. 191
Magnetization ... 3.2 μB/f.u.

(5)
VASP calculation (PBE) on an optimized crystal structure of Mg2AsPt.

Unit cell a=5.5523 b=5.5523 c=4.7299 alpha=75.99 beta=75.99 gamma=30.70
With the nearest neighbours (Å) after each atom.
Sites, in units of the cell vectors:
Pt  0.5161  0.5161  0.5451  2 As 2.71, 6 Mg 2.75-2.86, 2 Pt 2.94
As  0.2150  0.2150  0.2271  2 Pt 2.71, 5 Mg 2.81-2.91, 2 As 2.94
Mg  0.7859  0.7859  0.6779  3 Pt 2.80-3.11, 4 As 2.85-2.91, 3 Mg 2.94-3.07
Mg  0.9830  0.9830  0.0499  4 Pt 2.75-2.86, 1 As 2.81, 3 Mg 2.94-3.07

Output
Energy of formation from the pure elements ... -2.14 eV/f.u.
Density of states at the Fermi level ... 1.59 states/eV/f.u.
Symmetry ... Cm, No. 8
Magnetization ... 0.0 μB/f.u.

(6)
VASP calculation (PBE) on an optimized crystal structure of Mn2MoRhC.

Unit cell a=3.8664 b=3.8664 c=4.1242 alpha=90.00 beta=90.00 gamma=90.00
With the nearest neighbours (Å) after each atom.
Sites, in units of the cell vectors:
Mn  0.0000  0.5000  0.0000  2 C 1.93
Mn  0.5000  0.0000  0.0000  2 C 1.93
C  0.0000  0.0000  0.0000  4 Mn 1.93, 2 Mo 2.06
Mo  0.0000  0.0000  0.5000  2 C 2.06
Rh  0.5000  0.5000  0.5000  4 Mo 2.73, 8 Mn 2.83

Output
Energy of formation from the pure elements ... 0.25 eV/f.u.
Density of states at the Fermi level ... 5.07 states/eV/f.u.
Symmetry ... P4/mmm, No. 123
Magnetization ... 3.8 μB/f.u.

What did the sixth record say?
VASP calculation (PBE) on an optimized crystal structure of Mn2MoRhC.

Unit cell a=3.8664 b=3.8664 c=4.1242 alpha=90.00 beta=90.00 gamma=90.00
With the nearest neighbours (Å) after each atom.
Sites, in units of the cell vectors:
Mn  0.0000  0.5000  0.0000  2 C 1.93
Mn  0.5000  0.0000  0.0000  2 C 1.93
C  0.0000  0.0000  0.0000  4 Mn 1.93, 2 Mo 2.06
Mo  0.0000  0.0000  0.5000  2 C 2.06
Rh  0.5000  0.5000  0.5000  4 Mo 2.73, 8 Mn 2.83

Output
Energy of formation from the pure elements ... 0.25 eV/f.u.
Density of states at the Fermi level ... 5.07 states/eV/f.u.
Symmetry ... P4/mmm, No. 123
Magnetization ... 3.8 μB/f.u.